No. 1
Ho6SiAs2S3 (GGA-PBE, optimized geometry); uncorrected formation energy = -1656 meV per atom; magnetic moment = 0.0 μB per formula unit; DFT total energy = -74.44 eV per cell
1.0
-0.932 3.427 -1.874
-4.423 2.228 6.273
8.341 1.493 2.882
Si As Ho S
1 2 6 3
Direct
0.500 0.000 0.000
0.167 0.334 0.334
0.833 0.666 0.666
0.001 0.755 0.001
0.334 0.416 0.668
0.999 0.245 0.999
0.666 0.584 0.332
0.336 0.920 0.672
0.664 0.080 0.328
0.832 0.167 0.664
0.500 0.500 0.000
0.168 0.833 0.336

No. 2
Ho6SnAs3S2 (GGA-PBE, optimized geometry); uncorrected formation energy = -1526 meV per atom; magnetic moment = 0.0 μB per formula unit; DFT total energy = -71.98 eV per cell
1.0
4.054 0.000 0.000
0.000 8.233 0.317
-2.027 -2.347 8.583
As Ho S Sn
3 6 2 1
Direct
0.166 0.831 0.332
0.500 0.500 0.000
0.834 0.169 0.668
0.002 0.264 0.005
0.998 0.736 0.995
0.333 0.415 0.665
0.667 0.585 0.335
0.672 0.086 0.344
0.328 0.914 0.656
0.830 0.660 0.660
0.170 0.340 0.340
0.500 0.000 0.000

Q: What is the formula in the first record?
A: Ho6SiAs2S3